Below is an optimized crystal structure of SrAsS2Cl, with properties calculated at the PBEsol level.

Cell lengths 5.4773, 5.4773, 6.0373 Å; angles 90.00, 90.00, 90.00 degrees
With the nearest neighbours (Å) after each atom.
Space group P4/mmm (No. 123)
Unique sites:
Sr: 0.0000 0.0000 0.0000 [1 per cell]  4 S 2.74, 2 As 3.02
As: 0.0000 0.0000 0.5000 [1 per cell]  2 Sr 3.02
S: 0.0000 0.5000 0.0000 [2 per cell]  2 Sr 2.74
Cl: 0.5000 0.5000 0.5000 [1 per cell]  4 As 3.87, 8 S 4.08

Formation energy without anion corrections   677 meV/atom
Calculated total energy   -2.867 eV per atom

***

Below is an optimized crystal structure of NbBPt3, with properties calculated at the PBEsol level.

Cell lengths 4.1938, 4.1938, 4.1938 Å; angles 90.00, 90.00, 90.00 degrees
With the nearest neighbours (Å) after each atom.
Space group Pm-3m (No. 221)
Unique sites:
Nb: 0.0000 0.0000 0.0000 [1 per cell]  12 Pt 2.97
B: 0.5000 0.5000 0.5000 [1 per cell]  6 Pt 2.10
Pt: 0.0000 0.5000 0.5000 [3 per cell]  2 B 2.10

ΔH_f (0 K)   0.0193 eV/atom
Calculated total energy   -7.726 eV per atom

***

Below is an optimized crystal structure of ScBF2, with properties calculated at the PBEsol level.

Cell lengths 2.8884, 2.8884, 24.9683 Å; angles 90.00, 90.00, 120.00 degrees
With the nearest neighbours (Å) after each atom.
Space group R-3m (No. 166, hexagonal axes)
Unique sites:
Sc: 0.0000 0.0000 0.0000 [3 per cell]  6 F 2.11
B: 0.0000 0.0000 0.5000 [3 per cell]  2 F 2.86, 6 B 2.89
F: 0.0000 0.0000 0.3854 [6 per cell]  3 Sc 2.11

Energy above the most stable polymorph in this dataset   0.61 eV per formula unit
Formation energy without anion corrections   -1173 meV/atom
Calculated total energy   -5.542 eV per atom

***

Below is an optimized crystal structure of Nd4Ge7, with properties calculated at the PBEsol level.

Cell lengths 5.9289, 13.8582, 11.8591 Å; angles 90.00, 90.00, 90.00 degrees
With the nearest neighbours (Å) after each atom.
Space group C222_1 (No. 20)
Unique sites:
Nd: 0.0000 0.0042 0.2500 [4 per cell]  10 Ge 3.04-3.30
Nd: 0.0159 0.5000 0.0000 [4 per cell]  10 Ge 3.02-3.23
Nd: 0.2348 0.2550 0.6195 [8 per cell]  9 Ge 3.03-3.31
Ge: 0.0000 0.4404 0.7500 [4 per cell]  2 Ge 2.58
Ge: 0.0191 0.0884 0.9898 [8 per cell]  3 Ge 2.46-2.70
Ge: 0.1725 0.3524 0.3374 [8 per cell]  2 Ge 2.57-2.70
Ge: 0.2482 0.3276 0.8712 [8 per cell]  3 Ge 2.57-2.58

ΔH_f (0 K)   -0.7904 eV/atom
Calculated total energy   -5.812 eV per atom

***

Below is an optimized crystal structure of Mg2BeNi2, with properties calculated at the PBEsol level.

Cell lengths 3.6694, 3.6694, 11.2012 Å; angles 90.00, 90.00, 90.00 degrees
With the nearest neighbours (Å) after each atom.
Space group I4/mmm (No. 139)
Unique sites:
Mg: 0.0000 0.5000 0.2500 [4 per cell]  4 Ni 2.52, 4 Mg 2.59
Be: 0.0000 0.0000 0.0000 [2 per cell]  8 Ni 2.81
Ni: 0.0000 0.0000 0.4040 [4 per cell]  1 Ni 2.15

ΔH_f (0 K)   0.5853 eV/atom
Calculated total energy   -3.365 eV per atom

***

Below is an optimized crystal structure of SrLiLa7Co2O16, with properties calculated at the PBEsol level.

Cell lengths 6.7996, 7.4742, 7.4766 Å; angles 90.74, 105.69, 105.77 degrees
With the nearest neighbours (Å) after each atom.
Space group P1 (No. 1)
Unique sites:
Sr: 0.0000 0.0000 0.0000 [1 per cell]  8 O 2.54-2.74
Li: 0.2608 0.8181 0.3116 [1 per cell]  4 O 1.91-1.92
La: 0.0047 0.4986 0.5012 [1 per cell]  9 O 2.46-2.69
La: 0.0062 0.0099 0.5063 [1 per cell]  2 O 2.29-2.49
La: 0.0154 0.4968 0.9935 [1 per cell]  3 O 2.27-2.53
La: 0.5426 0.1470 0.1213 [1 per cell]  8 O 2.43-2.66
La: 0.5448 0.1436 0.6360 [1 per cell]  4 O 2.26-2.52
La: 0.5522 0.6448 0.6318 [1 per cell]  8 O 2.48-2.65
La: 0.5560 0.6360 0.1325 [1 per cell]  4 O 2.28-2.54
Co: 0.2788 0.8210 0.8179 [1 per cell]  6 O 1.82-2.02
Co: 0.2798 0.3212 0.3167 [1 per cell]  6 O 1.82-2.02
O: 0.2741 0.0628 0.8176 [1 per cell]  1 Co 1.82
O: 0.2748 0.8181 0.5717 [1 per cell]  1 Co 1.83, 1 Li 1.92
O: 0.2795 0.5662 0.3186 [1 per cell]  1 Co 1.83, 1 Li 1.92
O: 0.2801 0.3201 0.0738 [1 per cell]  1 Co 1.82
O: 0.2849 0.3300 0.5610 [1 per cell]  1 Co 1.82
O: 0.2857 0.0787 0.3187 [1 per cell]  1 Co 1.82, 1 Li 1.91
O: 0.2873 0.5802 0.8121 [1 per cell]  1 Co 1.82
O: 0.2878 0.8223 0.0640 [1 per cell]  1 Co 1.82, 1 Li 1.91
O: 0.5933 0.9034 0.8929 [1 per cell]  1 Co 1.97
O: 0.5978 0.4043 0.3927 [1 per cell]  1 Co 2.00
O: 0.6434 0.8955 0.4287 [1 per cell]  2 La 2.29-2.48, 1 Li 2.41
O: 0.6551 0.3985 0.9264 [1 per cell]  2 La 2.27-2.48
O: 0.9023 0.2503 0.6990 [1 per cell]  2 La 2.26-2.46
O: 0.9187 0.7271 0.2340 [1 per cell]  1 Li 2.15, 1 La 2.28
O: 0.9563 0.7324 0.7373 [1 per cell]  1 Co 2.02
O: 0.9582 0.2412 0.2439 [1 per cell]  1 Co 2.02

Formation energy without anion corrections   -2806 meV/atom
Calculated total energy   -8.017 eV per atom

***

Below is an optimized crystal structure of CoRe, with properties calculated at the PBEsol level.

Cell lengths 4.1501, 2.5970, 4.5130 Å; angles 90.00, 90.00, 90.00 degrees
With the nearest neighbours (Å) after each atom.
Space group Pmma (No. 51)
Unique sites:
Co: 0.2500 0.0000 0.1586 [2 per cell]  4 Co 2.52-2.60, 8 Re 2.54-2.67
Re: 0.2500 0.5000 0.6751 [2 per cell]  8 Co 2.54-2.67, 4 Re 2.60-2.61

ΔH_f (0 K)   -0.0998 eV/atom
Calculated total energy   -10.634 eV per atom

***

Below is an optimized crystal structure of MnCoAg2, with properties calculated at the PBEsol level.

Cell lengths 3.2452, 3.2452, 5.5069 Å; angles 90.00, 90.00, 90.00 degrees
With the nearest neighbours (Å) after each atom.
Space group P4/mmm (No. 123)
Unique sites:
Mn: 0.0000 0.0000 0.0000 [1 per cell]  8 Ag 2.69, 2 Co 2.75
Co: 0.0000 0.0000 0.5000 [1 per cell]  8 Ag 2.66, 2 Mn 2.75
Ag: 0.5000 0.5000 0.2560 [2 per cell]  4 Co 2.66, 2 Ag 2.69-2.82, 4 Mn 2.69

Energy above the most stable polymorph in this dataset   0.41 eV per formula unit
ΔH_f (0 K)   0.4794 eV/atom
Calculated total energy   -5.551 eV per atom